Computed, not measured: a relaxed TaCu2HS4 crystal at the PBE level of DFT.

Output
total DFT energy (no corrections) = -5.449 eV/atom
density = 4.6 g/cm3

a b c (Å): 7.6728 6.3473 6.4867
angles (deg): 90.00 90.00 90.00
Space group Pmn2_1 (No. 31)
One atom of each set of equivalent atoms:
Ta: 0.0000 0.1797 0.0000 (multiplicity 2)
Cu: 0.2378 0.6630 0.9805 (multiplicity 4)
H: 0.0000 0.9854 0.5848 (multiplicity 2)
S: 0.0000 0.1972 0.6237 (multiplicity 2)
S: 0.0000 0.8421 0.1091 (multiplicity 2)
S: 0.2470 0.3331 0.1269 (multiplicity 4)